No. 1
! Mn3B2O6 (GGA-PBEsol, optimized geometry); values from VASP
&SYSTEM
  ibrav = 0, nat = 22, ntyp = 3
/
ATOMIC_SPECIES
Mn 54.94 Mn.upf
B 10.81 B.upf
O 16.00 O.upf
CELL_PARAMETERS angstrom
4.629 0.000 0.000
0.000 5.625 0.000
0.000 0.000 8.686
ATOMIC_POSITIONS crystal
Mn 0.000 0.000 0.000
Mn 0.500 0.000 0.689
Mn 0.000 0.500 0.189
Mn 0.500 0.500 0.500
Mn 0.000 0.500 0.811
Mn 0.500 0.000 0.311
B 0.039 0.241 0.500
B 0.461 0.741 0.000
B 0.961 0.759 0.500
B 0.539 0.259 0.000
O 0.250 0.321 0.000
O 0.750 0.179 0.500
O 0.250 0.821 0.500
O 0.750 0.679 0.000
O 0.310 0.788 0.136
O 0.810 0.712 0.364
O 0.310 0.788 0.864
O 0.690 0.212 0.864
O 0.810 0.712 0.636
O 0.190 0.288 0.636
O 0.690 0.212 0.136
O 0.190 0.288 0.364
! Symmetry   Pnnm (58)
! E   -188.1 eV/cell
! Formation energy from raw total energies   -1750 meV/atom
! Total magnetic moment   30.00 μB per cell
! Calculated volume   226.2 Å³/cell

***

No. 2
! Tl2WBr (GGA-PBEsol, optimized geometry); values from VASP
&SYSTEM
  ibrav = 0, nat = 4, ntyp = 3
/
ATOMIC_SPECIES
Tl 204.38 Tl.upf
Br 79.90 Br.upf
W 183.84 W.upf
CELL_PARAMETERS angstrom
3.050 0.000 0.000
0.000 5.350 0.024
0.000 -0.036 5.350
ATOMIC_POSITIONS crystal
Tl 0.000 0.500 0.000
Tl 0.000 0.000 0.500
Br 0.500 0.500 0.500
W 0.500 0.000 0.000
! Symmetry   Cmmm (65)
! Relative energy among the computed polymorphs   0.63 eV per formula unit
! E   -18.0 eV/cell
! Formation energy from raw total energies   738 meV/atom
! Total magnetic moment   1.01 μB per cell
! DOS(E_F)   2.03 states/eV/f.u.
! Calculated volume   87.3 Å³/cell

***

No. 3
! Ti6Al16Fe7 (GGA-PBEsol, optimized geometry); values from VASP
&SYSTEM
  ibrav = 0, nat = 29, ntyp = 3
/
ATOMIC_SPECIES
Ti 47.87 Ti.upf
Al 26.98 Al.upf
Fe 55.84 Fe.upf
CELL_PARAMETERS angstrom
-6.718 -4.210 -2.380
-0.552 -8.117 1.524
-5.354 -2.793 5.661
ATOMIC_POSITIONS crystal
Ti 0.711 0.289 0.289
Ti 0.289 0.711 0.711
Ti 0.711 0.289 0.711
Ti 0.289 0.711 0.289
Ti 0.711 0.711 0.289
Ti 0.289 0.289 0.711
Al 0.978 0.341 0.341
Al 0.022 0.659 0.659
Al 0.341 0.978 0.341
Al 0.341 0.341 0.978
Al 0.659 0.022 0.659
Al 0.659 0.659 0.022
Al 0.341 0.341 0.341
Al 0.659 0.659 0.659
Al 0.643 0.119 0.119
Al 0.357 0.881 0.881
Al 0.119 0.643 0.119
Al 0.119 0.119 0.643
Al 0.881 0.357 0.881
Al 0.881 0.881 0.357
Al 0.119 0.119 0.119
Al 0.881 0.881 0.881
Fe 0.500 0.000 0.000
Fe 0.000 0.500 0.500
Fe 0.500 0.000 0.500
Fe 0.000 0.500 0.000
Fe 0.500 0.500 0.000
Fe 0.000 0.000 0.500
Fe 0.000 0.000 0.000
! Formation enthalpy at 0 K   -380 meV/atom
! Symmetry   Fm-3m (225)
! E   -189.1 eV/cell
! Total magnetic moment   2.85 μB per cell
! DOS(E_F)   25.19 states/eV/f.u.
! Calculated volume   401.0 Å³/cell

***

No. 4
! Li2TaPb (GGA-PBEsol, optimized geometry); values from VASP
&SYSTEM
  ibrav = 0, nat = 4, ntyp = 3
/
ATOMIC_SPECIES
Li 6.94 Li.upf
Pb 207.20 Pb.upf
Ta 180.95 Ta.upf
CELL_PARAMETERS angstrom
-2.784 0.591 0.979
-2.360 -0.446 -1.815
-2.527 -9.358 3.090
ATOMIC_POSITIONS crystal
Li 0.250 0.250 0.249
Li 0.750 0.750 0.751
Pb 0.500 0.500 0.500
Ta 0.000 0.000 0.000
! Formation enthalpy at 0 K   316 meV/atom
! Symmetry   R-3m (166)
! E   -19.2 eV/cell
! Total magnetic moment   0.00 μB per cell
! DOS(E_F)   2.80 states/eV/f.u.
! Calculated volume   78.6 Å³/cell

***

No. 5
! CrCdAg2 (GGA-PBEsol, optimized geometry); values from VASP
&SYSTEM
  ibrav = 0, nat = 4, ntyp = 3
/
ATOMIC_SPECIES
Ag 107.87 Ag.upf
Cd 112.41 Cd.upf
Cr 52.00 Cr.upf
CELL_PARAMETERS angstrom
-2.697 -3.063 -0.530
2.091 -2.307 2.692
-1.933 4.137 1.901
ATOMIC_POSITIONS crystal
Ag 0.750 0.250 0.500
Ag 0.250 0.750 0.500
Cd 0.000 0.000 0.000
Cr 0.500 0.500 0.000
! Formation enthalpy at 0 K   275 meV/atom
! Symmetry   I4/mmm (139)
! E   -17.0 eV/cell
! Total magnetic moment   3.96 μB per cell
! DOS(E_F)   1.73 states/eV/f.u.
! Calculated volume   67.7 Å³/cell

***

No. 6
! LiSc3Sb (GGA-PBEsol, optimized geometry); values from VASP
&SYSTEM
  ibrav = 0, nat = 5, ntyp = 3
/
ATOMIC_SPECIES
Sc 44.96 Sc.upf
Sb 121.76 Sb.upf
Li 6.94 Li.upf
CELL_PARAMETERS angstrom
-0.113 -0.701 5.329
-1.993 -4.945 -0.693
4.992 -1.991 -0.156
ATOMIC_POSITIONS crystal
Sc 0.000 0.500 0.000
Sc 0.000 0.000 0.500
Sc 0.500 0.000 0.000
Sb 0.000 0.000 0.000
Li 0.500 0.500 0.500
! Symmetry   Pm-3m (221)
! E   -25.1 eV/cell
! Formation energy from raw total energies   251 meV/atom
! Total magnetic moment   2.05 μB per cell
! DOS(E_F)   9.43 states/eV/f.u.
! Calculated volume   155.4 Å³/cell

***

No. 7
! Tm2PdRh (GGA-PBEsol, optimized geometry); values from VASP
&SYSTEM
  ibrav = 0, nat = 4, ntyp = 3
/
ATOMIC_SPECIES
Tm 168.93 Tm.upf
Rh 102.91 Rh.upf
Pd 106.42 Pd.upf
CELL_PARAMETERS angstrom
-0.610 -4.675 0.627
-0.126 -2.908 -3.762
3.603 -2.998 -0.810
ATOMIC_POSITIONS crystal
Tm 0.250 0.250 0.250
Tm 0.750 0.750 0.750
Rh 0.000 0.000 0.000
Pd 0.500 0.500 0.500
! Formation enthalpy at 0 K   -928 meV/atom
! Symmetry   Fm-3m (225)
! E   -27.6 eV/cell
! Total magnetic moment   0.00 μB per cell
! DOS(E_F)   1.87 states/eV/f.u.
! Calculated volume   76.1 Å³/cell

***

No. 8
! TaBe2Au (GGA-PBEsol, optimized geometry); values from VASP
&SYSTEM
  ibrav = 0, nat = 4, ntyp = 3
/
ATOMIC_SPECIES
Be 9.01 Be.upf
Au 196.97 Au.upf
Ta 180.95 Ta.upf
CELL_PARAMETERS angstrom
2.713 0.000 0.000
0.000 4.343 -0.014
-1.356 -1.470 4.363
ATOMIC_POSITIONS crystal
Be 0.024 0.987 0.049
Be 0.721 0.257 0.442
Au 0.271 0.804 0.541
Ta 0.484 0.453 0.968
! Formation enthalpy at 0 K   96 meV/atom
! Symmetry   Cm (8)
! Relative energy among the computed polymorphs   0.00 eV per formula unit
! E   -24.1 eV/cell
! Total magnetic moment   0.00 μB per cell
! DOS(E_F)   1.49 states/eV/f.u.
! Calculated volume   51.3 Å³/cell

***

Number 1: theoretical density 4.15 Mg/m³. Number 2: theoretical density 12.79 Mg/m³. Number 3: theoretical density 4.60 Mg/m³. Number 4: theoretical density 8.49 Mg/m³. Number 5: theoretical density 9.32 Mg/m³. Number 6: theoretical density 2.82 Mg/m³. Number 7: theoretical density 11.94 Mg/m³. Number 8: theoretical density 12.81 Mg/m³.